Sm2MnSe2O2: relaxed, GGA+U.

The structure belongs to space group C2/m (No. 12); the cell edges are 11.611, 3.875 and 7.106 Å and the angles 90.00°, 121.65° and 90.00°. The inequivalent atoms are Sm at (0.191, 0.000, 0.248), Mn at (0.000, 0.000, 0.500), Se at (0.064, 0.500, 0.829) and O at (0.200, 0.000, 0.583).

The value obtained for the mass density is 6.66 g/cm³. Its total energy is -50.0 eV/f.u. As for the density of states at the Fermi level: 0.0000 states/eV/atom. The total magnetization comes out at 0.7143 μB/atom.